[1]
VASP calculation (PBE-GGA) on MgBe2P after structural relaxation.

a b c (Å): 4.6874 4.6874 4.6874
angles (deg): 135.33 135.33 65.02
With the nearest neighbours (Å) after each atom.
Positions (direct):
Mg 0.0000 0.0000 0.0000  8 Be 2.52-2.66, 4 P 2.66
Be 0.5000 0.5000 0.0000  4 Mg 2.52, 4 Be 2.66, 4 P 2.66
Be 0.7500 0.2500 0.5000  4 P 2.52, 4 Mg 2.66, 4 Be 2.66
P 0.2500 0.7500 0.5000  8 Be 2.52-2.66, 4 Mg 2.66

Results
Formation enthalpy at 0 K (eV/atom): 0.31
Final energy (Ha/atom): -0.121
Space-group type: I-4m2 (119)
Energy relative to the lowest polymorph listed for this composition (eV/f.u.): 1.29



[2]
VASP calculation (PBE-GGA) on ZrAg after structural relaxation.

a b c (Å): 5.5655 5.5655 5.7596
angles (deg): 90.00 90.00 90.00
With the nearest neighbours (Å) after each atom.
Positions (direct):
Zr 0.1889 0.1889 0.0000  6 Ag 2.83-2.93, 1 Zr 2.97
Zr 0.3111 0.6889 0.5000  6 Ag 2.83-2.93, 1 Zr 2.97
Zr 0.6889 0.3111 0.5000  6 Ag 2.83-2.93, 1 Zr 2.97
Zr 0.8111 0.8111 0.0000  6 Ag 2.83-2.93, 1 Zr 2.97
Ag 0.1796 0.1796 0.5000  1 Ag 2.83, 6 Zr 2.83-2.93
Ag 0.3204 0.6796 0.0000  1 Ag 2.83, 6 Zr 2.83-2.93
Ag 0.6796 0.3204 0.0000  1 Ag 2.83, 6 Zr 2.83-2.93
Ag 0.8204 0.8204 0.5000  1 Ag 2.83, 6 Zr 2.83-2.93

Results
Formation enthalpy at 0 K (eV/atom): 0.36
Final energy (Ha/atom): -0.196
Space-group type: P4_2/mnm (136)



[3]
VASP calculation (PBE-GGA) on NaUSe2S after structural relaxation.

a b c (Å): 6.8217 6.8217 9.9269
angles (deg): 90.00 90.00 144.88
With the nearest neighbours (Å) after each atom.
Positions (direct):
Na 0.2235 0.7765 0.7500  2 S 2.91
Na 0.7765 0.2235 0.2500  2 S 2.91
U 0.5000 0.5000 0.0000  2 S 2.62, 4 Se 2.76
U 0.5000 0.5000 0.5000  2 S 2.62, 4 Se 2.76
Se 0.1328 0.8672 0.0625  2 U 2.76
Se 0.1328 0.8672 0.4375  2 U 2.76
Se 0.8672 0.1328 0.5625  2 U 2.76
Se 0.8672 0.1328 0.9375  2 U 2.76
S 0.4349 0.5651 0.2500  2 U 2.62, 2 Na 2.91
S 0.5651 0.4349 0.7500  2 U 2.62, 2 Na 2.91

Results
Final energy (Ha/atom): -0.216
Space-group type: Cmcm (63)
Uncorrected formation energy (eV/f.u.): -5.659



[4]
VASP calculation (PBE-GGA) on Na2In2Se3 after structural relaxation.

a b c (Å): 7.7727 7.7727 6.6033
angles (deg): 103.68 103.68 30.91
With the nearest neighbours (Å) after each atom.
Positions (direct):
Na 0.1462 0.1462 0.1742  5 Se 3.03-3.31
Na 0.8538 0.8538 0.8258  5 Se 3.03-3.31
In 0.4237 0.4237 0.3302  3 Se 2.65-2.70, 1 In 2.78
In 0.5763 0.5763 0.6698  3 Se 2.65-2.70, 1 In 2.78
Se 0.1897 0.1897 0.7068  2 In 2.65
Se 0.5000 0.5000 0.0000  2 In 2.70
Se 0.8103 0.8103 0.2932  2 In 2.65

Results
Final energy (Ha/atom): -0.126
Space-group type: C2/m (12)
Uncorrected formation energy (eV/f.u.): -5.379